Computed, not measured: a geometry-optimized Sm2InCuS5 structure at the GGA-PBE level of DFT.

Values from the calculation:
The calculated density comes out at 5.75 g cm⁻³. The uncorrected formation energy is -30.17 kcal/mol of atoms. As for the symmetry: Cmc2_1. The energy above the most stable polymorph in this dataset comes out at 44 meV/atom. As for the volume: 184.7 Å³/f.u.

Cell lengths 3.876, 8.453, 11.586 Å; angles 90.00, 90.00, 103.25 degrees
Fractional positions:
Sm  0.879  0.758  0.800
Sm  0.112  0.223  0.686
Sm  0.121  0.242  0.300
Sm  0.888  0.777  0.186
In  0.808  0.616  0.501
In  0.192  0.384  0.001
Cu  0.500  0.000  0.984
Cu  0.500  0.000  0.484
S  0.354  0.708  0.998
S  0.700  0.401  0.842
S  0.504  0.008  0.787
S  0.289  0.577  0.661
S  0.957  0.914  0.565
S  0.646  0.292  0.498
S  0.300  0.599  0.342
S  0.496  0.992  0.287
S  0.711  0.423  0.161
S  0.043  0.086  0.065